Record 1
Density functional theory data (PBE) for an optimized crystal structure of TlSbAu2.

Formation energy without anion corrections = 0.29 eV per formula unit

```
4
Lattice="3.863 -3.827 0.000 3.863 3.827 0.000 -0.176 0.000 3.135" Properties=species:S:1:pos:R:3 pbc="T T T"
Tl 0.000 0.000 0.000
Sb 3.863 0.000 0.000
Au 1.844 1.914 1.568
Au 1.844 -1.914 1.568
```

Record 2
Density functional theory data (PBE) for an optimized crystal structure of Rb3ScBe.

ΔH_f (0 K) = 1.0959 eV per atom

```
5
Lattice="6.655 0.000 0.000 0.000 6.655 0.000 0.000 0.000 6.655" Properties=species:S:1:pos:R:3 pbc="T T T"
Rb 0.000 0.000 3.327
Rb 0.000 3.327 0.000
Rb 3.327 0.000 0.000
Sc 3.327 3.327 3.327
Be 0.000 0.000 0.000
```

ΔE to the lowest computed polymorph readings, ordered: 0.142; 0.000 eV per atom